A plane-wave DFT calculation with PBE was carried out for a relaxed SrSBrCl2 crystal.

ρ   2.3 Mg/m³
Fermi-level density of states   1.2758 states/eV/atom
Raw formation energy   -295.0 kJ/mol of formula units
SG   P4/mmm, No. 123
ΔE to the lowest computed polymorph   0.0 meV/atom
E   -14.2 eV/f.u.

CIF file:
```
data_SrSBrCl2
_cell_length_a 5.608
_cell_length_b 5.608
_cell_length_c 6.235
_cell_angle_alpha 90.00
_cell_angle_beta 90.00
_cell_angle_gamma 90.00
_symmetry_space_group_name_H-M 'P 1'
_symmetry_Int_Tables_number 1
_symmetry_space_group_name_Hall 'P 1'
loop_
_atom_site_label
_atom_site_type_symbol
_atom_site_fract_x
_atom_site_fract_y
_atom_site_fract_z
Sr1 Sr 0.000 0.000 0.000
S1 S 0.000 0.000 0.500
Br1 Br 0.500 0.500 0.500
Cl1 Cl 0.000 0.500 0.000
Cl2 Cl 0.500 0.000 0.000
```